Record 1
PBE NaHoHgSb, optimized geometry; DOS(E_F) = 3.70 states/eV/cell; E = -3.039 eV per atom; calculated density = 8198 kg/m3
1.0
-0.928 -0.236 -5.180
-4.518 -2.044 -1.776
-3.636 3.134 -2.170
Na Hg Sb Ho
1 1 1 1
direct
0.000 0.000 0.000
0.750 0.750 0.750
0.250 0.250 0.250
0.500 0.500 0.500

***

Record 2
PBE Sc2U2Se7, optimized geometry; DOS(E_F) = 34.68 states/eV/cell; polymorph energy (0 for the lowest one) = 0.000 eV/atom; calculated density = 6406 kg/m3
1.0
8.107 0.000 4.680
2.702 7.643 4.680
0.000 0.000 9.361
Se U Sc
14 4 4
direct
0.772 0.228 0.772
0.022 0.022 0.478
0.478 0.022 0.022
0.772 0.772 0.228
0.478 0.022 0.478
0.750 0.750 0.750
0.500 0.500 0.500
0.772 0.228 0.228
0.022 0.478 0.022
0.228 0.772 0.772
0.228 0.772 0.228
0.228 0.228 0.772
0.022 0.478 0.478
0.478 0.478 0.022
0.625 0.125 0.625
0.625 0.625 0.125
0.625 0.625 0.625
0.125 0.625 0.625
0.125 0.625 0.125
0.125 0.125 0.125
0.625 0.125 0.125
0.125 0.125 0.625

***

Record 3
PBE Cs2AgRh, optimized geometry; DOS(E_F) = 4.88 states/eV/cell; energy relative to the elements = 0.8230 eV/atom; polymorph energy (0 for the lowest one) = 0.361 eV/atom; calculated density = 5549 kg/m3
1.0
0.000 4.147 4.147
4.147 0.000 4.147
4.147 4.147 0.000
Cs Ag Rh
2 1 1
direct
0.250 0.250 0.250
0.750 0.750 0.750
0.500 0.500 0.500
0.000 0.000 0.000

***

Record 4
PBE Nd3Tm2Tl7, optimized geometry; DOS(E_F) = 10.59 states/eV/cell; energy relative to the elements = -0.1126 eV/atom; calculated density = 9835 kg/m3
1.0
-5.435 1.185 1.104
-1.136 -0.175 -5.402
-1.783 -11.511 3.571
Tl Nd Tm
7 3 2
direct
0.000 0.000 0.000
0.000 0.276 0.551
0.000 0.724 0.449
0.500 0.916 0.832
0.500 0.084 0.168
0.000 0.578 0.156
0.000 0.422 0.844
0.500 0.663 0.326
0.500 0.337 0.674
0.500 0.500 0.000
0.000 0.145 0.290
0.000 0.855 0.710

***

Record 5
PBE RbNaSn2, optimized geometry; DOS(E_F) = 5.10 states/eV/cell; energy relative to the elements = -0.1722 eV/atom; polymorph energy (0 for the lowest one) = 0.000 eV/atom; calculated density = 3672 kg/m3
1.0
7.871 0.000 0.000
0.000 8.754 0.000
0.000 0.000 9.079
Rb Sn Na
4 8 4
direct
0.250 0.490 0.843
0.250 0.990 0.657
0.750 0.510 0.157
0.750 0.010 0.343
0.431 0.350 0.456
0.931 0.150 0.956
0.569 0.150 0.956
0.069 0.850 0.044
0.931 0.650 0.544
0.569 0.650 0.544
0.431 0.850 0.044
0.069 0.350 0.456
0.750 0.333 0.683
0.750 0.833 0.817
0.250 0.667 0.317
0.250 0.167 0.183

***

Record 6
PBE Tm2ThHg5, optimized geometry; DOS(E_F) = 4.43 states/eV/cell; energy relative to the elements = -0.3445 eV/atom; calculated density = 13054 kg/m3
1.0
-2.420 4.452 1.331
-4.611 -2.486 -0.069
4.312 -2.657 6.419
Tm Hg Th
2 5 1
direct
0.266 0.266 0.532
0.734 0.734 0.468
0.870 0.370 0.739
0.130 0.630 0.261
0.630 0.130 0.261
0.500 0.500 0.000
0.370 0.870 0.739
0.000 0.000 0.000

***

Record 7
PBE MgVNi2, optimized geometry; DOS(E_F) = 9.36 states/eV/cell; energy relative to the elements = 0.3572 eV/atom; calculated density = 5514 kg/m3
1.0
-6.268 1.812 -1.044
-1.835 -6.348 0.001
-4.455 -2.151 2.102
Ni V Mg
4 2 2
direct
0.657 0.125 0.250
0.875 0.907 0.750
0.375 0.343 0.750
0.093 0.625 0.250
0.750 0.250 0.500
0.000 0.000 0.000
0.500 0.500 0.000
0.250 0.750 0.500

***

Record 8
PBE NaCaRe3, optimized geometry; DOS(E_F) = 6.14 states/eV/cell; energy relative to the elements = 2.7808 eV/atom; polymorph energy (0 for the lowest one) = 0.000 eV/atom; calculated density = 10106 kg/m3
1.0
-1.023 3.931 -2.314
-4.183 0.137 2.082
1.819 2.526 3.488
Re Ca Na
3 1 1
direct
0.500 0.000 0.000
0.000 0.000 0.500
0.000 0.500 0.000
0.500 0.500 0.500
0.000 0.000 0.000

***

Number 1: M_tot 0.0 μB/cell. Number 2: M_tot 8.0 μB/cell. Number 3: M_tot 0.0 μB/cell. Number 4: M_tot 0.0 μB/cell. Number 5: M_tot 0.0 μB/cell. Number 6: M_tot 0.0 μB/cell. Number 7: M_tot 2.5 μB/cell. Number 8: M_tot 4.4 μB/cell.